! AcMn4Cu3O12 PBE with a Hubbard U optimized geometry; values from VASP
! Spin magnetization = 15.93 μB per formula unit
! Theoretical density = 6.4 g cm⁻³
! Electronic total energy = -134.01 eV per cell
&SYSTEM
  ibrav = 0, nat = 20, ntyp = 4
/
ATOMIC_SPECIES
O 16.00 O.upf
Mn 54.94 Mn.upf
Cu 63.55 Cu.upf
Ac 227.00 Ac.upf
ATOMIC_POSITIONS angstrom
O 2.9837 -2.9979 -2.1039
O 1.4695 -1.7269 1.4407
O 2.7586 -0.7215 -3.7664
O 0.6818 -4.0416 -3.4247
O 1.9768 -4.2815 0.2791
O 2.4764 -0.4433 -0.9423
O 1.6946 -4.0033 3.1033
O -0.8243 -4.6490 0.1552
O 4.0872 -2.3201 0.4774
O 5.2775 -0.0758 -0.8183
O 3.7714 -0.6832 2.7616
O 0.3660 -2.4046 -1.1406
Mn -1.5058 -2.8521 -0.4967
Mn 1.9267 0.6709 -2.5468
Mn 2.2266 -2.3624 -0.3316
Mn 1.8057 -0.1812 2.7120
Cu 0.4209 -2.1812 -3.0436
Cu 0.2999 -3.0333 2.2153
Cu 3.7324 0.4897 0.1652
Ac 0.0000 0.0000 0.0000
CELL_PARAMETERS angstrom
-3.0116 -5.7041 -0.9935
3.8534 1.3418 -5.0937
3.6115 -0.3624 5.4240